[1]
{
  "formula": "BeRePb2",
  "functional": "PBE-GGA",
  "state": "optimized geometry",
  "e_tot_ev_per_atom": -4.7200,
  "magmom_total_mub_per_cell": 0.00,
  "dos_ef_per_ev_atom": 0.76,
  "space_group": "Pmmm (47)",
  "cell": [[3.4951, 0.0000, 0.0000], [0.0000, 4.3560, 0.0000], [0.0000, 0.0000, 5.3017]],
  "species": ["Be", "Re", "Pb", "Pb"],
  "frac_coords": [[0.0000, 0.0000, 0.0000], [0.5000, 0.0000, 0.5000], [0.0000, 0.5000, 0.5000], [0.5000, 0.5000, 0.0000]]
}

***

[2]
{
  "formula": "TiB2Mo",
  "functional": "PBE-GGA",
  "state": "optimized geometry",
  "e_tot_ev_per_atom": -8.8333,
  "magmom_total_mub_per_cell": 0.00,
  "dos_ef_per_ev_atom": 0.17,
  "space_group": "Pmc2_1 (26)",
  "cell": [[3.0938, 0.0000, 0.0000], [0.0000, 4.5299, 0.0000], [0.0000, 0.0000, 5.9339]],
  "species": ["Ti", "Ti", "B", "B", "B", "B", "Mo", "Mo"],
  "frac_coords": [[0.0000, 0.1310, 0.0000], [0.0000, 0.8690, 0.5000], [0.0000, 0.3478, 0.3592], [0.0000, 0.6522, 0.8592], [0.5000, 0.1445, 0.2962], [0.5000, 0.8555, 0.7962], [0.5000, 0.3747, 0.6522], [0.5000, 0.6253, 0.1522]]
}

***

[3]
{
  "formula": "Cs2RhC2",
  "functional": "PBE-GGA",
  "state": "optimized geometry",
  "e_tot_ev_per_atom": -3.1591,
  "magmom_total_mub_per_cell": 1.56,
  "dos_ef_per_ev_atom": 0.75,
  "space_group": "I4/mmm (139)",
  "cell": [[3.0914, 0.0000, 0.0000], [0.0000, 3.0914, 0.0000], [0.0000, 0.0000, 22.8105]],
  "species": ["Cs", "Cs", "Cs", "Cs", "Rh", "Rh", "C", "C", "C", "C"],
  "frac_coords": [[0.0000, 0.0000, 0.1240], [0.0000, 0.0000, 0.8760], [0.5000, 0.5000, 0.3760], [0.5000, 0.5000, 0.6240], [0.0000, 0.0000, 0.5000], [0.5000, 0.5000, 0.0000], [0.0000, 0.5000, 0.2500], [0.0000, 0.5000, 0.7500], [0.5000, 0.0000, 0.2500], [0.5000, 0.0000, 0.7500]]
}

***

[4]
{
  "formula": "CaCd4Hg5",
  "functional": "PBE-GGA",
  "state": "optimized geometry",
  "e_tot_ev_per_atom": -0.8457,
  "magmom_total_mub_per_cell": 0.00,
  "dos_ef_per_ev_atom": 0.34,
  "space_group": "P4/mmm (123)",
  "cell": [[3.7887, 0.0000, 0.0000], [0.0000, 3.7887, 0.0000], [0.0000, 0.0000, 17.0655]],
  "species": ["Ca", "Cd", "Cd", "Cd", "Cd", "Hg", "Hg", "Hg", "Hg", "Hg"],
  "frac_coords": [[0.0000, 0.0000, 0.0000], [0.0000, 0.0000, 0.2067], [0.0000, 0.0000, 0.4032], [0.0000, 0.0000, 0.5968], [0.0000, 0.0000, 0.7933], [0.5000, 0.5000, 0.1091], [0.5000, 0.5000, 0.3041], [0.5000, 0.5000, 0.5000], [0.5000, 0.5000, 0.6959], [0.5000, 0.5000, 0.8909]]
}

***

[5]
{
  "formula": "Sr2LiIr",
  "functional": "PBE-GGA",
  "state": "optimized geometry",
  "e_tot_ev_per_atom": -3.4898,
  "magmom_total_mub_per_cell": 0.00,
  "dos_ef_per_ev_atom": 0.50,
  "space_group": "Cmmm (65)",
  "cell": [[7.3499, 0.0000, 0.0000], [0.0000, 7.3599, 0.0000], [0.0000, 0.0000, 3.9358]],
  "species": ["Sr", "Sr", "Sr", "Sr", "Li", "Li", "Ir", "Ir"],
  "frac_coords": [[0.2500, 0.2500, 0.0000], [0.2500, 0.7500, 0.0000], [0.7500, 0.2500, 0.0000], [0.7500, 0.7500, 0.0000], [0.0000, 0.0000, 0.5000], [0.5000, 0.5000, 0.5000], [0.0000, 0.5000, 0.5000], [0.5000, 0.0000, 0.5000]]
}

***

[6]
{
  "formula": "Y2CdNi",
  "functional": "PBE-GGA",
  "state": "optimized geometry",
  "e_tot_ev_per_atom": -5.2723,
  "magmom_total_mub_per_cell": 0.00,
  "dos_ef_per_ev_atom": 0.56,
  "space_group": "Pmmm (47)",
  "cell": [[3.4660, 0.0000, 0.0000], [0.0000, 3.4942, 0.0000], [0.0000, 0.0000, 7.5674]],
  "species": ["Y", "Y", "Cd", "Ni"],
  "frac_coords": [[0.0000, 0.0000, 0.2156], [0.0000, 0.0000, 0.7844], [0.5000, 0.5000, 0.5000], [0.5000, 0.5000, 0.0000]]
}

***

[7]
{
  "formula": "NaPIr2S",
  "functional": "PBE-GGA",
  "state": "optimized geometry",
  "magmom_total_mub_per_cell": 0.00,
  "e_form_raw_mev_per_atom": 2323,
  "dos_ef_per_ev_atom": 0.99,
  "space_group": "P4/mmm (123)",
  "cell": [[4.6535, 0.0000, 0.0000], [0.0000, 4.6535, 0.0000], [0.0000, 0.0000, 4.3810]],
  "species": ["Na", "P", "Ir", "Ir", "S"],
  "frac_coords": [[0.0000, 0.0000, 0.0000], [0.0000, 0.0000, 0.5000], [0.0000, 0.5000, 0.0000], [0.5000, 0.0000, 0.0000], [0.5000, 0.5000, 0.5000]]
}

***

[8]
{
  "formula": "NbPd2Ru",
  "functional": "PBE-GGA",
  "state": "optimized geometry",
  "e_tot_ev_per_atom": -7.6940,
  "magmom_total_mub_per_cell": 0.00,
  "dos_ef_per_ev_atom": 0.65,
  "space_group": "Pmma (51)",
  "cell": [[3.9455, 0.0000, 0.0000], [0.0000, 3.8179, 0.0000], [0.0000, 0.0000, 8.2610]],
  "species": ["Nb", "Nb", "Pd", "Pd", "Pd", "Pd", "Ru", "Ru"],
  "frac_coords": [[0.2500, 0.0000, 0.1377], [0.7500, 0.0000, 0.8623], [0.2500, 0.0000, 0.6315], [0.2500, 0.5000, 0.3736], [0.7500, 0.0000, 0.3685], [0.7500, 0.5000, 0.6264], [0.2500, 0.5000, 0.8731], [0.7500, 0.5000, 0.1269]]
}

***

[9]
{
  "formula": "AsIrPt2",
  "functional": "PBE-GGA",
  "state": "optimized geometry",
  "e_tot_ev_per_atom": -6.2319,
  "magmom_total_mub_per_cell": 0.00,
  "dos_ef_per_ev_atom": 1.20,
  "space_group": "I-4m2 (119)",
  "cell": [[4.1777, 0.0000, 0.0000], [0.0000, 4.1777, 0.0000], [0.0000, 0.0000, 7.2236]],
  "species": ["As", "As", "Ir", "Ir", "Pt", "Pt", "Pt", "Pt"],
  "frac_coords": [[0.0000, 0.0000, 0.0000], [0.5000, 0.5000, 0.5000], [0.0000, 0.5000, 0.7500], [0.5000, 0.0000, 0.2500], [0.0000, 0.0000, 0.5000], [0.0000, 0.5000, 0.2500], [0.5000, 0.0000, 0.7500], [0.5000, 0.5000, 0.0000]]
}

***

[10]
{
  "formula": "ThAl4Tl",
  "functional": "PBE-GGA",
  "state": "optimized geometry",
  "e_tot_ev_per_atom": -4.2202,
  "magmom_total_mub_per_cell": 0.00,
  "dos_ef_per_ev_atom": 1.07,
  "space_group": "F-43m (216)",
  "cell": [[0.0000, 4.0122, 4.0122], [4.0122, 0.0000, 4.0122], [4.0122, 4.0122, 0.0000]],
  "species": ["Th", "Al", "Al", "Al", "Al", "Tl"],
  "frac_coords": [[0.0000, 0.0000, 0.0000], [0.1262, 0.6246, 0.6246], [0.6246, 0.1262, 0.6246], [0.6246, 0.6246, 0.1262], [0.6246, 0.6246, 0.6246], [0.2500, 0.2500, 0.2500]]
}

***

[11]
{
  "formula": "Pr2CdPb5",
  "functional": "PBE-GGA",
  "state": "optimized geometry",
  "e_tot_ev_per_atom": -4.0244,
  "magmom_total_mub_per_cell": 0.00,
  "dos_ef_per_ev_atom": 0.47,
  "space_group": "Pbam (55)",
  "cell": [[6.9060, 0.0000, 0.0000], [0.0000, 13.7100, 0.0000], [0.0000, 0.0000, 4.9487]],
  "species": ["Pr", "Pr", "Pr", "Pr", "Cd", "Cd", "Pb", "Pb", "Pb", "Pb", "Pb", "Pb", "Pb", "Pb", "Pb", "Pb"],
  "frac_coords": [[0.2344, 0.1301, 0.0000], [0.2656, 0.6301, 0.0000], [0.7344, 0.3699, 0.0000], [0.7656, 0.8699, 0.0000], [0.0000, 0.5000, 0.5000], [0.5000, 0.0000, 0.5000], [0.0000, 0.0000, 0.5000], [0.0131, 0.7464, 0.5000], [0.2333, 0.3812, 0.0000], [0.2667, 0.8812, 0.0000], [0.4869, 0.2464, 0.5000], [0.5000, 0.5000, 0.5000], [0.5131, 0.7536, 0.5000], [0.7333, 0.1188, 0.0000], [0.7667, 0.6188, 0.0000], [0.9869, 0.2536, 0.5000]]
}

***

[12]
{
  "formula": "Li2FeCu",
  "functional": "PBE-GGA",
  "state": "optimized geometry",
  "e_tot_ev_per_atom": -3.9530,
  "magmom_total_mub_per_cell": 2.51,
  "dos_ef_per_ev_atom": 0.73,
  "space_group": "P4mm (99)",
  "cell": [[2.5676, 0.0000, 0.0000], [0.0000, 2.5676, 0.0000], [0.0000, 0.0000, 8.3002]],
  "species": ["Li", "Li", "Fe", "Cu"],
  "frac_coords": [[0.0000, 0.0000, 0.0000], [0.5000, 0.5000, 0.3023], [0.5000, 0.5000, 0.7532], [0.0000, 0.0000, 0.5358]]
}

***

Please write out number 12 again, unchanged.
{
  "formula": "Li2FeCu",
  "functional": "PBE-GGA",
  "state": "optimized geometry",
  "e_tot_ev_per_atom": -3.9530,
  "magmom_total_mub_per_cell": 2.51,
  "dos_ef_per_ev_atom": 0.73,
  "space_group": "P4mm (99)",
  "cell": [[2.5676, 0.0000, 0.0000], [0.0000, 2.5676, 0.0000], [0.0000, 0.0000, 8.3002]],
  "species": ["Li", "Li", "Fe", "Cu"],
  "frac_coords": [[0.0000, 0.0000, 0.0000], [0.5000, 0.5000, 0.3023], [0.5000, 0.5000, 0.7532], [0.0000, 0.0000, 0.5358]]
}

***

What did the first record say?
{
  "formula": "BeRePb2",
  "functional": "PBE-GGA",
  "state": "optimized geometry",
  "e_tot_ev_per_atom": -4.7200,
  "magmom_total_mub_per_cell": 0.00,
  "dos_ef_per_ev_atom": 0.76,
  "space_group": "Pmmm (47)",
  "cell": [[3.4951, 0.0000, 0.0000], [0.0000, 4.3560, 0.0000], [0.0000, 0.0000, 5.3017]],
  "species": ["Be", "Re", "Pb", "Pb"],
  "frac_coords": [[0.0000, 0.0000, 0.0000], [0.5000, 0.0000, 0.5000], [0.0000, 0.5000, 0.5000], [0.5000, 0.5000, 0.0000]]
}

***

What is the formula in the first record? BeRePb2